First-principles (PBE) data for crystalline NiMo2Pb at its relaxed geometry, as listed in the Alexandria database.

Output
Space group ... C2/m (12)
M_tot ... 0.0 μB/f.u.
Raw total energy ... -0.2633 hartree per atom
Energy of formation from the pure elements ... 2.49 eV per formula unit

Cell lengths 5.222, 5.222, 2.871 Å; angles 95.62, 95.62, 119.06 degrees
Element x y z (fractional)
Ni  0.000  0.000  0.000
Mo  0.000  0.500  0.500
Mo  0.500  0.000  0.500
Pb  0.500  0.500  0.000